Al2Sb | meta-GGA SCAN | single point on PBEsol structure

Geometry as POSCAR:
```
Al2Sb
1.0
-0.622 -1.181 -3.782
3.082 -1.494 2.086
-2.801 -3.576 1.578
Sb Al
1 2
direct
0.000 0.000 0.000
0.333 0.667 0.336
0.667 0.333 0.664
```

Calculated values
Crystal system: trigonal
Volume (Å³ per cell): 67.0
SG: P-3m1 (164)
DOS at the Fermi energy (states/eV/f.u.): 1.240
E_form (uncorrected) (eV per atom): 0.18